Material: AcBeMoO6
Method: DFT, GGA+U
State: relaxed

Unit cell a=4.858 b=5.107 c=5.405 alpha=88.90 beta=87.50 gamma=63.47
Fractional positions:
1 Ac 0.000 0.000 0.000
2 Be 0.599 0.867 0.474
3 Mo 0.289 0.439 0.515
4 O 0.040 0.459 0.784
5 O 0.343 0.107 0.285
6 O 0.396 0.726 0.622
7 O 0.526 0.446 0.188
8 O 0.632 0.105 0.656
9 O 0.922 0.683 0.333

Summary:
- E_tot (eV/atom) = -7.15
- M_tot (μB/f.u.) = 1.04